Entry 1:
Here is crystalline PRuRh2 at its relaxed geometry from Alexandria. Energies are from GGA-PBE.

## Properties
uncorrected energy = -7.5459 eV per atom
SG = Immm (71)
DFT formation energy = -199 meV/atom

Geometry as CIF:
```
data_PRuRh2
_cell_length_a 5.147
_cell_length_b 5.147
_cell_length_c 5.147
_cell_angle_alpha 147.55
_cell_angle_beta 131.33
_cell_angle_gamma 59.72
_space_group_name_H-M_alt 'P 1'
_space_group_IT_number 1
_space_group_name_Hall 'P 1'
loop_
_atom_site_label
_atom_site_fract_x
_atom_site_fract_y
_atom_site_fract_z
Ru1 0.000 0.500 0.500
Rh1 0.707 0.707 0.000
Rh2 0.293 0.293 0.000
P1 0.500 0.000 0.500
```

Entry 2:
Here is crystalline AcNd2Pd at its relaxed geometry from Alexandria. Energies are from GGA-PBE.

## Properties
uncorrected energy = -5.1149 eV per atom
SG = Pnma (62)
DFT formation energy = -406 meV/atom
ΔE to the lowest computed polymorph = 0.000 eV/f.u.

Geometry as CIF:
```
data_AcNd2Pd
_cell_length_a 6.732
_cell_length_b 7.460
_cell_length_c 10.382
_cell_angle_alpha 90.00
_cell_angle_beta 90.00
_cell_angle_gamma 90.00
_space_group_name_H-M_alt 'P 1'
_space_group_IT_number 1
_space_group_name_Hall 'P 1'
loop_
_atom_site_label
_atom_site_fract_x
_atom_site_fract_y
_atom_site_fract_z
Nd1 0.334 0.177 0.062
Nd2 0.666 0.823 0.562
Nd3 0.666 0.823 0.938
Ac1 0.144 0.973 0.750
Pd1 0.088 0.385 0.250
Pd2 0.588 0.115 0.750
Ac2 0.644 0.527 0.250
Nd4 0.166 0.677 0.062
Nd5 0.834 0.323 0.938
Nd6 0.834 0.323 0.562
Nd7 0.166 0.677 0.438
Ac3 0.856 0.027 0.250
Ac4 0.356 0.473 0.750
Nd8 0.334 0.177 0.438
Pd3 0.412 0.885 0.250
Pd4 0.912 0.615 0.750
```

Entry 3:
Here is crystalline La2Sb7Pd12 at its relaxed geometry from Alexandria. Energies are from GGA-PBE.

## Properties
uncorrected energy = -5.4684 eV per atom
SG = P-3 (147)
formation energy without anion corrections = -0.66 eV per atom

Geometry as CIF:
```
data_La2Sb7Pd12
_cell_length_a 4.403
_cell_length_b 10.556
_cell_length_c 10.556
_cell_angle_alpha 120.00
_cell_angle_beta 90.00
_cell_angle_gamma 90.00
_space_group_name_H-M_alt 'P 1'
_space_group_IT_number 1
_space_group_name_Hall 'P 1'
loop_
_atom_site_label
_atom_site_fract_x
_atom_site_fract_y
_atom_site_fract_z
Sb1 0.271 0.403 0.109
Pd1 0.787 0.866 0.122
Sb2 0.729 0.109 0.706
Pd2 0.238 0.436 0.377
Pd3 0.213 0.744 0.866
Sb3 0.729 0.597 0.891
Sb4 0.271 0.891 0.294
Sb5 0.271 0.706 0.597
La1 0.764 0.667 0.333
Pd4 0.238 0.941 0.564
Pd5 0.213 0.134 0.878
Pd6 0.762 0.564 0.623
Pd7 0.762 0.377 0.941
Pd8 0.238 0.623 0.059
Pd9 0.213 0.122 0.256
Pd10 0.787 0.878 0.744
Sb6 0.729 0.294 0.403
Sb7 0.500 0.000 0.000
La2 0.236 0.333 0.667
Pd11 0.787 0.256 0.134
Pd12 0.762 0.059 0.436
```

- Look up the uncorrected energy of the first one.
  -7.5459 eV per atom